# 1
A plane-wave DFT calculation with SCAN was carried out for Li3CoO2F at its PBEsol-relaxed geometry.

Summary:
The value obtained for the volume is 10.0 Å³/atom. Its crystal system is orthorhombic. As for the uncorrected formation energy: -2.02 eV/atom.

Cell: 7.9502 9.3916 3.7561 Å, 90.00 90.00 90.00°
Space group Pnnm (No. 58)
Asymmetric unit:
Li  0.1084  0.1472  0.0000 x4
Li  0.1183  0.9115  0.5000 x4
Li  0.1555  0.3285  0.5000 x4
Co  0.1230  0.5813  0.0000 x4
O  0.1022  0.3755  0.0000 x4
O  0.1566  0.1205  0.5000 x4
F  0.1207  0.8782  0.0000 x4

***

# 2
A plane-wave DFT calculation with SCAN was carried out for Li5CoOF5 at its PBEsol-relaxed geometry.

Summary:
Its energy above the most stable polymorph in this dataset is 40 meV/atom. For the density of states at the Fermi level, the calculation gives 0.066 states/eV per atom. The value obtained for the volume is 10.2 Å³/atom. Its crystal system is trigonal. As for the uncorrected formation energy: -2.74 eV/atom.

Cell: 3.1019 3.1019 14.7117 Å, 90.00 90.00 120.00°
Space group P3m1 (No. 156)
Asymmetric unit:
Li  0.0000  0.0000  0.0000 x1
Li  0.0000  0.0000  0.3271 x1
Li  0.0000  0.0000  0.6554 x1
Li  0.6667  0.3333  0.1637 x1
Li  0.6667  0.3333  0.4905 x1
Co  0.6667  0.3333  0.8221 x1
O  0.0000  0.0000  0.7901 x1
F  0.0000  0.0000  0.1269 x1
F  0.0000  0.0000  0.4538 x1
F  0.6667  0.3333  0.2904 x1
F  0.6667  0.3333  0.6173 x1
F  0.6667  0.3333  0.9663 x1

***

# 3
A plane-wave DFT calculation with SCAN was carried out for Li2CoOF3 at its PBEsol-relaxed geometry.

Summary:
Its energy above the most stable polymorph in this dataset is 20 meV/atom. The value obtained for the volume is 9.8 Å³/atom. Its crystal system is tetragonal. As for the uncorrected formation energy: -2.44 eV/atom.

Cell: 5.8345 5.8345 8.0238 Å, 90.00 90.00 90.00°
Space group P4_1 (No. 76)
Asymmetric unit:
Li  0.0103  0.2364  0.0000 x4
Li  0.2390  0.7443  0.1190 x4
Co  0.2586  0.5021  0.7479 x4
O  0.2993  0.4819  0.9671 x4
F  0.0078  0.7504  0.7414 x4
F  0.0311  0.2640  0.7536 x4
F  0.2129  0.5006  0.5074 x4

***

# 4
A plane-wave DFT calculation with SCAN was carried out for Li2CoOF2 at its PBEsol-relaxed geometry.

Summary:
For the density of states at the Fermi level, the calculation gives 0.148 states/eV per atom. The value obtained for the volume is 8.5 Å³/atom. Its crystal system is tetragonal. As for the uncorrected formation energy: -2.41 eV/atom.

Cell: 2.8744 2.8744 12.3251 Å, 90.00 90.00 90.00°
Space group P4/nmm (No. 129, origin choice 2)
Asymmetric unit:
Li  0.2500  0.2500  0.0798 x2
Li  0.2500  0.2500  0.7580 x2
Co  0.2500  0.2500  0.4273 x2
O  0.2500  0.2500  0.5929 x2
F  0.2500  0.2500  0.2405 x2
F  0.2500  0.2500  0.9197 x2

***

# 5
A plane-wave DFT calculation with SCAN was carried out for Li2CoOF3 at its PBEsol-relaxed geometry.

Summary:
Its energy above the most stable polymorph in this dataset is 89 meV/atom. For the density of states at the Fermi level, the calculation gives 0.034 states/eV per atom. The value obtained for the volume is 9.8 Å³/atom. Its crystal system is monoclinic. As for the uncorrected formation energy: -2.37 eV/atom.

Cell: 8.9888 5.3714 5.6711 Å, 90.00 90.66 90.00°
Space group Cc (No. 9)
Asymmetric unit:
Li  0.0000  0.0073  0.0000 x4
Li  0.3387  0.0252  0.8280 x4
Co  0.1511  0.4329  0.6639 x4
O  0.2547  0.4413  0.9315 x4
F  0.0118  0.2766  0.2460 x4
F  0.2161  0.0805  0.5696 x4
F  0.4749  0.2474  0.2491 x4

***

# 6
A plane-wave DFT calculation with SCAN was carried out for Li7CoOF7 at its PBEsol-relaxed geometry.

Summary:
For the density of states at the Fermi level, the calculation gives 0.132 states/eV per atom. The value obtained for the volume is 8.3 Å³/atom. Its crystal system is orthorhombic. As for the uncorrected formation energy: -2.82 eV/atom.

Cell: 2.8427 8.1415 5.7679 Å, 90.00 90.00 90.00°
Space group Pmm2 (No. 25)
Asymmetric unit:
Li  0.0000  0.0000  0.0000 x1
Li  0.0000  0.0000  0.4963 x1
Li  0.0000  0.5000  0.4832 x1
Li  0.5000  0.2423  0.7406 x2
Li  0.5000  0.2521  0.2600 x2
Co  0.0000  0.5000  0.0272 x1
O  0.5000  0.5000  0.2494 x1
F  0.0000  0.2420  0.9907 x2
F  0.0000  0.2429  0.5021 x2
F  0.5000  0.0000  0.2477 x1
F  0.5000  0.0000  0.7476 x1
F  0.5000  0.5000  0.7408 x1

***

# 7
A plane-wave DFT calculation with SCAN was carried out for Li3Co3OF7 at its PBEsol-relaxed geometry.

Summary:
Its energy above the most stable polymorph in this dataset is 0 meV/atom. The value obtained for the volume is 10.5 Å³/atom. Its crystal system is monoclinic. As for the uncorrected formation energy: -2.40 eV/atom.

Cell: 10.3507 5.7582 5.9662 Å, 90.00 124.46 90.00°
Space group Cm (No. 8)
Asymmetric unit:
Li  0.0000  0.0000  0.0000 x2
Li  0.0110  0.0000  0.5380 x2
Li  0.1304  0.5000  0.8957 x2
Co  0.2591  0.2298  0.5301 x4
Co  0.3784  0.0000  0.1117 x2
O  0.2468  0.0000  0.7417 x2
F  0.0146  0.2318  0.2741 x4
F  0.2414  0.0000  0.2442 x2
F  0.2590  0.5000  0.3033 x2
F  0.2664  0.5000  0.7720 x2
F  0.4967  0.2599  0.7571 x4

***

# 8
A plane-wave DFT calculation with SCAN was carried out for Li2CoO2F at its PBEsol-relaxed geometry.

Summary:
For the density of states at the Fermi level, the calculation gives 0.000 states/eV per atom. The value obtained for the volume is 7.9 Å³/atom. Its crystal system is trigonal. As for the uncorrected formation energy: -2.30 eV/atom.

Cell: 2.8178 2.8178 13.7904 Å, 90.00 90.00 120.00°
Space group P-3m1 (No. 164)
Asymmetric unit:
Li  0.0000  0.0000  0.0000 x1
Li  0.0000  0.0000  0.5000 x1
Li  0.3333  0.6667  0.1673 x2
Co  0.3333  0.6667  0.6660 x2
O  0.0000  0.0000  0.2619 x2
O  0.3333  0.6667  0.4061 x2
F  0.3333  0.6667  0.9162 x2

***

| no. | VASP energy (eV/atom) |
| --- | --- |
| 1 | -7.805 |
| 2 | -7.174 |
| 3 | -8.002 |
| 4 | -8.305 |
| 5 | -7.933 |
| 6 | -6.884 |
| 7 | -8.838 |
| 8 | -8.652 |